CaTh4Sb5 | PBE | optimized geometry

a b c (Å): 4.5100 6.3702 22.5970
angles (deg): 90.00 90.00 90.00
Space group Immm (No. 71)
Asymmetric unit:
1 Ca 0.0000 0.0000 0.0000 [2 per cell]
2 Th 0.0000 0.0000 0.2006 [4 per cell]
3 Th 0.0000 0.0000 0.4004 [4 per cell]
4 Sb 0.0000 0.5000 0.0000 [2 per cell]
5 Sb 0.0000 0.5000 0.1995 [4 per cell]
6 Sb 0.0000 0.5000 0.3997 [4 per cell]

Computed properties:
Total magnetic moment   0.000 μB per atom
Uncorrected formation energy   -949 meV per atom
Electronic total energy   -123.56 eV for the cell shown